## CdTcIr2 (PBE-GGA)

Data for a relaxed structure of CdTcIr2.

```
4
Lattice="0.0000 3.1590 3.1590 3.1590 0.0000 3.1590 3.1590 3.1590 0.0000" Properties=species:S:1:pos:R:3 pbc="T T T"
Cd 0.0000 0.0000 0.0000
Tc 4.7386 4.7386 4.7386
Ir 1.5795 1.5795 1.5795
Ir 3.1590 3.1590 3.1590
```

For the formation energy, the calculation gives 478.8 meV per atom.

## BiBPt (PBE-GGA)

Data for a relaxed structure of BiBPt.

```
3
Lattice="0.0000 2.9996 2.9996 2.9996 0.0000 2.9996 2.9996 2.9996 0.0000" Properties=species:S:1:pos:R:3 pbc="T T T"
Bi 0.0000 0.0000 0.0000
B 1.4998 1.4998 1.4998
Pt 2.9996 2.9996 2.9996
```

For the total energy, the calculation gives -14.5 eV per cell.

## KTmSn (PBE-GGA)

Data for a relaxed structure of KTmSn.

```
3
Lattice="0.0000 3.7343 3.7343 3.7343 0.0000 3.7343 3.7343 3.7343 0.0000" Properties=species:S:1:pos:R:3 pbc="T T T"
K 0.0000 0.0000 0.0000
Tm 1.8672 1.8672 1.8672
Sn 3.7343 3.7343 3.7343
```

For the total energy, the calculation gives -9.2 eV per cell.

## LiPtO4 (PBE-GGA)

Data for a relaxed structure of LiPtO4.

```
6
Lattice="4.1564 0.0000 0.0000 0.0000 3.0128 0.0000 -0.3077 0.0000 4.6407" Properties=species:S:1:pos:R:3 pbc="T T T"
Li 0.0000 0.0000 0.0000
Pt 1.9244 1.5064 2.3204
O 0.8119 0.0000 1.7113
O 1.1951 1.5064 4.1921
O 2.6536 1.5064 0.4486
O 3.0369 0.0000 2.9295
```

For the total energy, the calculation gives -31.6 eV per cell.

## Ho2TlOs (PBE-GGA)

Data for a relaxed structure of Ho2TlOs.

```
4
Lattice="3.3911 0.0000 0.0000 0.0000 3.3911 0.0000 0.0000 0.0000 8.2117" Properties=species:S:1:pos:R:3 pbc="T T T"
Ho 0.0000 0.0000 1.6557
Ho 0.0000 0.0000 6.5560
Tl 1.6955 1.6955 4.1058
Os 1.6955 1.6955 0.0000
```

For the total energy, the calculation gives -24.1 eV per cell.

## LuAgSnTe3 (PBE-GGA)

Data for a relaxed structure of LuAgSnTe3.

```
24
Lattice="11.1168 0.0000 0.0000 0.0000 4.3017 0.0000 0.0000 0.0000 14.5252" Properties=species:S:1:pos:R:3 pbc="T T T"
Lu 0.2114 1.0754 3.5418
Lu 5.3470 3.2263 10.8044
Lu 5.7698 1.0754 3.7208
Lu 10.9054 3.2263 10.9834
Ag 2.6720 1.0754 10.4801
Ag 2.8864 3.2263 3.2175
Ag 8.2304 1.0754 11.3076
Ag 8.4448 3.2263 4.0451
Sn 2.4776 3.2263 7.5046
Sn 3.0808 1.0754 0.2420
Sn 8.0360 3.2263 14.2831
Sn 8.6393 1.0754 7.0205
Te 0.3841 1.0754 8.8417
Te 0.7677 3.2263 1.4609
Te 2.6083 3.2263 12.2967
Te 2.9501 1.0754 5.0342
Te 4.7907 1.0754 8.7234
Te 5.1743 3.2263 1.5791
Te 5.9425 1.0754 12.9460
Te 6.3262 3.2263 5.8017
Te 8.1667 3.2263 9.4910
Te 8.5085 1.0754 2.2284
Te 10.3491 1.0754 13.0643
Te 10.7327 3.2263 5.6835
```

For the total energy, the calculation gives -98.0 eV per cell.

## InNiIrPt (PBE-GGA)

Data for a relaxed structure of InNiIrPt.

```
4
Lattice="0.0000 3.1457 3.1457 3.1457 0.0000 3.1457 3.1457 3.1457 0.0000" Properties=species:S:1:pos:R:3 pbc="T T T"
In 0.0000 0.0000 0.0000
Ni 1.5729 1.5729 1.5729
Ir 3.1457 3.1457 3.1457
Pt 4.7186 4.7186 4.7186
```

For the total energy, the calculation gives -22.9 eV per cell.

## YCd2Ag (PBE-GGA)

Data for a relaxed structure of YCd2Ag.

```
4
Lattice="0.0000 3.5178 3.5178 3.5178 0.0000 3.5178 3.5178 3.5178 0.0000" Properties=species:S:1:pos:R:3 pbc="T T T"
Y 0.0000 0.0000 0.0000
Cd 3.5178 3.5178 3.5178
Cd 5.2767 5.2767 5.2767
Ag 1.7589 1.7589 1.7589
```

For the formation energy, the calculation gives -306.1 meV per atom.

## Y2Tl2PdPt3 (PBE-GGA)

Data for a relaxed structure of Y2Tl2PdPt3.

```
8
Lattice="4.6613 0.0000 0.0000 -2.3306 4.0368 0.0000 0.0000 0.0000 8.9964" Properties=species:S:1:pos:R:3 pbc="T T T"
Y 0.0000 0.0000 0.0000
Y 0.0000 2.6912 4.5604
Tl 2.3306 1.3456 2.2780
Tl 2.3306 1.3456 6.7973
Pd 0.0000 2.6912 1.4859
Pt 0.0000 0.0000 3.1092
Pt 0.0000 0.0000 5.9111
Pt 0.0000 2.6912 7.6770
```

For the total energy, the calculation gives -46.9 eV per cell.

## Ta2BS (PBE-GGA)

Data for a relaxed structure of Ta2BS.

```
8
Lattice="3.3621 0.0000 0.0000 -1.6810 2.9116 0.0000 0.0000 0.0000 11.5641" Properties=species:S:1:pos:R:3 pbc="T T T"
Ta 0.0000 1.9411 1.1470
Ta 0.0000 1.9411 4.6351
Ta 1.6810 0.9705 6.9290
Ta 1.6810 0.9705 10.4171
B 0.0000 0.0000 0.0000
B 0.0000 0.0000 5.7821
S 0.0000 1.9411 8.6731
S 1.6810 0.9705 2.8910
```

For the total energy, the calculation gives -75.7 eV per cell.

## LaTlAu2 (PBE-GGA)

Data for a relaxed structure of LaTlAu2.

```
8
Lattice="4.9945 0.0000 0.0000 -2.4973 4.3254 0.0000 0.0000 0.0000 9.1814" Properties=species:S:1:pos:R:3 pbc="T T T"
La 0.0000 2.8836 2.2954
La 2.4973 1.4418 6.8861
Tl 0.0000 0.0000 0.0000
Tl 0.0000 0.0000 4.5907
Au 0.0000 2.8836 5.4617
Au 0.0000 2.8836 8.3105
Au 2.4973 1.4418 0.8709
Au 2.4973 1.4418 3.7198
```

For the total energy, the calculation gives -32.4 eV per cell.

## LaCuNiPb (PBE-GGA)

Data for a relaxed structure of LaCuNiPb.

```
4
Lattice="0.0000 3.5010 3.5010 3.5010 0.0000 3.5010 3.5010 3.5010 0.0000" Properties=species:S:1:pos:R:3 pbc="T T T"
La 0.0000 0.0000 0.0000
Cu 3.5010 3.5010 3.5010
Ni 5.2514 5.2514 5.2514
Pb 1.7505 1.7505 1.7505
```

For the total energy, the calculation gives -17.6 eV per cell.

## NaP5Os3 (PBE-GGA)

Data for a relaxed structure of NaP5Os3.

```
9
Lattice="5.8284 0.0000 0.0000 -2.9142 5.0475 0.0000 0.0000 0.0000 5.3970" Properties=species:S:1:pos:R:3 pbc="T T T"
Na 0.0000 0.0000 0.0000
P 0.0000 0.0000 2.6985
P 0.0000 3.3650 1.0801
P 0.0000 3.3650 4.3169
P 2.9142 1.6825 1.0801
P 2.9142 1.6825 4.3169
Os -1.4571 2.5238 2.6985
Os 2.9142 0.0000 2.6985
Os 1.4571 2.5238 2.6985
```

For the total energy, the calculation gives -60.3 eV per cell.

## Lu2Nb (PBE-GGA)

Data for a relaxed structure of Lu2Nb.

```
6
Lattice="0.0000 4.1879 4.1879 4.1879 0.0000 4.1879 4.1879 4.1879 0.0000" Properties=species:S:1:pos:R:3 pbc="T T T"
Lu 0.0000 0.0000 0.0000
Lu 2.0940 2.0940 0.0000
Lu 2.0940 0.0000 2.0940
Lu 0.0000 2.0940 2.0940
Nb 3.1410 3.1410 3.1410
Nb 5.2349 5.2349 5.2349
```

For the formation energy, the calculation gives 825.7 meV per atom.

## CdSnH2Cl2O2 (PBE-GGA)

Data for a relaxed structure of CdSnH2Cl2O2.

```
8
Lattice="3.8355 0.0000 0.0000 -1.9178 3.3217 0.0000 0.0000 0.0000 10.1917" Properties=species:S:1:pos:R:3 pbc="T T T"
Cd 0.0000 0.0000 0.0000
Sn 1.9178 1.1072 5.0864
H 0.0000 2.2144 1.6627
H 0.0000 2.2144 6.9867
Cl 0.0000 0.0000 3.1062
Cl 1.9178 1.1072 8.4747
O 0.0000 2.2144 0.6806
O 0.0000 2.2144 6.0023
```

For the total energy, the calculation gives -33.5 eV per cell.

## Ag2HgBr3Cl (PBE-GGA)

Data for a relaxed structure of Ag2HgBr3Cl.

```
7
Lattice="6.0941 0.0000 0.0000 -0.1152 6.1460 0.0000 -2.9912 -2.9763 6.1570" Properties=species:S:1:pos:R:3 pbc="T T T"
Ag 0.0000 0.0000 0.0000
Ag -0.0021 3.1087 3.1220
Hg 3.0915 0.0242 3.0944
Br -1.4784 1.4842 4.7473
Br 1.6040 1.5941 1.5164
Br 4.4062 4.5252 1.5263
Cl 1.6113 -1.4846 4.6148
```

For the total energy, the calculation gives -15.8 eV per cell.

## BeZnCuW (PBE-GGA)

Data for a relaxed structure of BeZnCuW.

```
4
Lattice="0.0000 2.9368 2.9368 2.9368 0.0000 2.9368 2.9368 2.9368 0.0000" Properties=species:S:1:pos:R:3 pbc="T T T"
Be 0.0000 0.0000 0.0000
Zn 1.4684 1.4684 1.4684
Cu 2.9368 2.9368 2.9368
W 4.4051 4.4051 4.4051
```

For the total energy, the calculation gives -19.8 eV per cell.

## Er5CuTe3 (PBE-GGA)

Data for a relaxed structure of Er5CuTe3.

```
9
Lattice="8.5368 0.0000 0.0000 -4.2684 7.3931 0.0000 0.0000 0.0000 3.8416" Properties=species:S:1:pos:R:3 pbc="T T T"
Er -0.9947 1.7228 0.0000
Er 1.9893 0.0000 0.0000
Er 0.0000 4.9287 0.0000
Er 4.2684 2.4644 0.0000
Er 3.2737 5.6703 0.0000
Cu 0.0000 0.0000 1.9208
Te -2.4118 4.1774 1.9208
Te 1.8565 3.2156 1.9208
Te 4.8237 0.0000 1.9208
```

For the total energy, the calculation gives -40.4 eV per cell.

## AcUFe (PBE-GGA)

Data for a relaxed structure of AcUFe.

```
3
Lattice="0.0000 3.3824 3.3824 3.3824 0.0000 3.3824 3.3824 3.3824 0.0000" Properties=species:S:1:pos:R:3 pbc="T T T"
Ac 0.0000 0.0000 0.0000
U 3.3824 3.3824 3.3824
Fe 1.6912 1.6912 1.6912
```

For the formation energy, the calculation gives 719.7 meV per atom.

## CsAgBr3 (PBE-GGA)

Data for a relaxed structure of CsAgBr3.

```
5
Lattice="5.4608 0.0000 0.0000 0.0000 5.4608 0.0000 0.0000 0.0000 5.4608" Properties=species:S:1:pos:R:3 pbc="T T T"
Cs 0.0000 0.0000 0.0000
Ag 2.7304 2.7304 2.7304
Br 0.0000 2.7304 2.7304
Br 2.7304 0.0000 2.7304
Br 2.7304 2.7304 0.0000
```

For the total energy, the calculation gives -13.2 eV per cell.

## ErSnNO (PBE-GGA)

Data for a relaxed structure of ErSnNO.

```
16
Lattice="6.6711 0.0000 0.0000 0.0000 7.0555 0.0000 0.0000 0.0000 5.6445" Properties=species:S:1:pos:R:3 pbc="T T T"
Er 0.6063 1.0352 0.0000
Er 2.7292 1.0352 2.8222
Er 3.9419 6.0203 0.0000
Er 6.0648 6.0203 2.8222
Sn 0.8055 4.7172 5.5740
Sn 2.5300 4.7172 2.7518
Sn 4.1411 2.3383 5.5740
Sn 5.8656 2.3383 2.7518
N 0.5814 0.8093 3.4034
N 2.7541 0.8093 0.5811
N 3.9170 6.2462 3.4034
N 6.0897 6.2462 0.5811
O 0.4177 2.9814 1.0514
O 2.9179 2.9814 3.8737
O 3.7533 4.0741 1.0514
O 6.2535 4.0741 3.8737
```

For the total energy, the calculation gives -109.9 eV per cell.

## CdGeMo2 (PBE-GGA)

Data for a relaxed structure of CdGeMo2.

```
4
Lattice="0.0000 3.2200 3.2200 3.2200 0.0000 3.2200 3.2200 3.2200 0.0000" Properties=species:S:1:pos:R:3 pbc="T T T"
Cd 0.0000 0.0000 0.0000
Ge 4.8299 4.8299 4.8299
Mo 1.6100 1.6100 1.6100
Mo 3.2200 3.2200 3.2200
```

For the total energy, the calculation gives -25.2 eV per cell.

## Ge3Mo4W2C3 (PBE-GGA)

Data for a relaxed structure of Ge3Mo4W2C3.

```
24
Lattice="4.7312 -2.7267 0.0000 4.7312 2.7267 0.0000 -3.1343 0.0000 12.6098" Properties=species:S:1:pos:R:3 pbc="T T T"
Ge 2.3804 2.2362 9.4574
Ge 2.4066 0.4261 3.1526
Ge 0.8395 -0.4261 9.4575
Ge 5.4885 0.4261 3.1523
Ge 3.9214 -0.4261 9.4572
Ge 3.9476 -2.2362 3.1525
Mo -0.7737 0.3958 7.4579
Mo -0.8194 0.4904 11.4590
Mo 0.7934 -0.3958 1.1530
Mo 0.7478 -0.4904 5.1541
Mo 5.5802 0.4904 7.4558
Mo 5.5346 0.3958 11.4568
Mo 7.1474 -0.4904 1.1509
Mo 7.1017 -0.3958 5.1519
W 2.3309 0.4777 7.3922
W 2.4299 0.4777 11.5226
W 3.8981 -0.4777 1.0872
W 3.9971 -0.4777 5.2177
C 0.7984 1.3633 6.3049
C 3.9587 1.3400 0.0000
C 3.9365 1.3400 6.3049
C 2.3656 -1.3633 0.0000
C 2.3915 -1.3400 6.3049
C 5.5036 -1.3400 0.0000
```

For the total energy, the calculation gives -221.7 eV per cell.

## K2CoHgCl6 (PBE-GGA)

Data for a relaxed structure of K2CoHgCl6.

```
20
Lattice="3.5500 2.0496 12.3207 -3.5500 2.0496 12.3207 0.0000 -4.0992 12.3207" Properties=species:S:1:pos:R:3 pbc="T T T"
K 0.0000 0.0000 4.6837
K 0.0000 0.0000 10.9828
K 0.0000 0.0000 25.9791
K 0.0000 0.0000 32.2782
Co 0.0000 0.0000 0.0000
Co 0.0000 0.0000 18.4810
Hg 0.0000 0.0000 15.2794
Hg 0.0000 0.0000 21.6826
Cl -1.7397 -1.0044 17.0666
Cl 0.0000 -2.1429 13.7221
Cl -1.8558 1.0715 13.7221
Cl -1.8558 -1.0715 23.2398
Cl 0.0000 -2.0088 19.8953
Cl -1.7397 1.0044 19.8953
Cl 1.7397 -1.0044 17.0666
Cl 0.0000 2.0088 17.0666
Cl 1.8558 1.0715 13.7222
Cl 1.8558 -1.0715 23.2398
Cl 0.0000 2.1429 23.2398
Cl 1.7397 1.0044 19.8953
```

For the total energy, the calculation gives -62.7 eV per cell.